(1)
A relaxed structure of Ce2AlOs3. Source: Alexandria via LeMat-Bulk, functional PBE.

Cell: 5.5124 5.5124 8.3760 Å, 90.00 90.00 120.00°
Space group P6_3/mmc (No. 194)
Inequivalent atoms, fractional coordinates:
Ce 0.3333 0.6667 0.0756
Al 0.0000 0.0000 0.0000
Os 0.1710 0.3421 0.7500

Calculated values
**Calculated volume**: 18.4 Å³ per atom
**Formation energy from the elements**: -322 meV per atom
**Magnetization**: 0.01 Bohr magnetons per cell



(2)
A relaxed structure of LiLaPb2. Source: Alexandria via LeMat-Bulk, functional PBE.

Cell: 4.987 4.987 9.170 Å, 90.00 90.00 90.00°
Space group I4/mmm (No. 139)
Inequivalent atoms, fractional coordinates:
Li 0.000 0.000 0.000
La 0.000 0.000 0.500
Pb 0.000 0.500 0.250

Calculated values
**Calculated volume**: 28.5 Å³ per atom
**Formation energy from the elements**: -390 meV per atom
**Magnetization**: 0.00 Bohr magnetons per cell



(3)
A relaxed structure of V2FeRh. Source: Alexandria via LeMat-Bulk, functional PBE.

Cell: 2.733 2.733 6.829 Å, 90.00 90.00 90.00°
Space group P4/mmm (No. 123)
Inequivalent atoms, fractional coordinates:
V 0.000 0.000 0.227
Fe 0.500 0.500 0.000
Rh 0.500 0.500 0.500

Calculated values
**Calculated volume**: 12.8 Å³ per atom
**Formation energy from the elements**: -212 meV per atom
**Magnetization**: 0.00 Bohr magnetons per cell



(4)
A relaxed structure of CsSnB2. Source: Alexandria via LeMat-Bulk, functional PBE.

Cell: 5.292 5.292 14.725 Å, 90.00 90.00 90.00°
Space group I4_1/amd (No. 141, origin choice 2)
Inequivalent atoms, fractional coordinates:
Cs 0.000 0.250 0.375
Sn 0.000 0.250 0.875
B 0.000 0.000 0.000

Calculated values
**Calculated volume**: 25.8 Å³ per atom
**Formation energy from the elements**: 1207 meV per atom
**Magnetization**: 0.00 Bohr magnetons per cell



(5)
A relaxed structure of Ba2SrCd2. Source: Alexandria via LeMat-Bulk, functional PBE.

Cell: 10.065 10.065 4.014 Å, 90.00 90.00 90.00°
Space group P4/mbm (No. 127)
Inequivalent atoms, fractional coordinates:
Ba 0.134 0.366 0.000
Sr 0.000 0.000 0.000
Cd 0.163 0.663 0.500

Calculated values
**Polymorph energy (0 for the lowest one)**: 77.3 meV per atom
**Calculated volume**: 40.7 Å³ per atom
**Formation energy from the elements**: -167 meV per atom
**Magnetization**: 0.00 Bohr magnetons per cell



(6)
A relaxed structure of PmGd2I. Source: Alexandria via LeMat-Bulk, functional PBE.

Cell: 3.701 3.701 9.618 Å, 90.00 90.00 90.00°
Space group P4/mmm (No. 123)
Inequivalent atoms, fractional coordinates:
Pm 0.000 0.000 0.000
Gd 0.500 0.500 0.258
I 0.000 0.000 0.500

Calculated values
**Polymorph energy (0 for the lowest one)**: 52.8 meV per atom
**Calculated volume**: 32.9 Å³ per atom
**ΔE_f (raw)**: -1.3 eV/f.u.
**Magnetization**: 14.84 Bohr magnetons per cell